Entry 1:
Re2PbAu | PBE | relaxed

a b c (Å): 3.001 4.864 4.927
angles (deg): 90.00 90.00 90.00
Space group Pmmm (No. 47)
Inequivalent atoms, fractional coordinates:
Re  0.000  0.000  0.000
Re  0.500  0.500  0.000
Pb  0.000  0.500  0.500
Au  0.500  0.000  0.500

As for the formation energy: 0.96 eV per atom.

---

Entry 2:
Re2PbAu | PBE | relaxed

a b c (Å): 7.638 7.638 5.410
angles (deg): 90.00 90.00 90.00
Space group I-42d (No. 122)
Inequivalent atoms, fractional coordinates:
Re  0.241  0.750  0.125
Pb  0.000  0.000  0.500
Au  0.000  0.000  0.000

As for the formation energy: 1.40 eV per atom.

---

Entry 3:
RePb2Au | PBE | relaxed

a b c (Å): 3.266 5.113 10.915
angles (deg): 90.00 90.00 90.00
Space group Cmmm (No. 65)
Inequivalent atoms, fractional coordinates:
Re  0.000  0.000  0.000
Pb  0.000  0.500  0.226
Au  0.000  0.000  0.500

As for the formation energy: 0.79 eV per atom. As for the offset from the most stable computed form: 0.214 eV per atom.

---

Entry 4:
Re2PbAu | PBE | relaxed

a b c (Å): 4.193 4.193 8.001
angles (deg): 90.00 90.00 90.00
Space group I-4m2 (No. 119)
Inequivalent atoms, fractional coordinates:
Re  0.000  0.000  0.000
Re  0.000  0.500  0.250
Pb  0.000  0.000  0.500
Au  0.000  0.500  0.750

As for the formation energy: 0.95 eV per atom.

---

Entry 5:
Re2PbAu | PBE | relaxed

a b c (Å): 5.690 10.064 2.963
angles (deg): 90.00 121.15 90.00
Space group C2/m (No. 12)
Inequivalent atoms, fractional coordinates:
Re  0.250  0.250  0.000
Pb  0.000  0.000  0.500
Au  0.000  0.500  0.500

As for the formation energy: 0.98 eV per atom.

---

Entry 6:
RePb2Au | PBE | relaxed

a b c (Å): 7.386 7.401 3.191
angles (deg): 90.00 90.00 90.00
Space group Cmmm (No. 65)
Inequivalent atoms, fractional coordinates:
Re  0.000  0.000  0.000
Pb  0.250  0.250  0.500
Au  0.000  0.500  0.000

As for the formation energy: 0.81 eV per atom. As for the offset from the most stable computed form: 0.234 eV per atom.

---

Entry 7:
Re2PbAu | PBE | relaxed

a b c (Å): 5.566 8.492 3.002
angles (deg): 90.00 90.00 90.00
Space group Cmmm (No. 65)
Inequivalent atoms, fractional coordinates:
Re  0.250  0.250  0.000
Pb  0.000  0.000  0.500
Au  0.000  0.500  0.500

As for the formation energy: 1.09 eV per atom.

---

Entry 8:
RePb2Au | PBE | relaxed

a b c (Å): 3.123 3.123 9.612
angles (deg): 90.00 90.00 90.00
Space group P4mm (No. 99)
Inequivalent atoms, fractional coordinates:
Re  0.000  0.000  0.000
Pb  0.000  0.000  0.412
Pb  0.500  0.500  0.779
Au  0.500  0.500  0.179

As for the formation energy: 0.58 eV per atom. As for the offset from the most stable computed form: 0.000 eV per atom.

---

Entry 9:
ReSiPbAu2 | PBE | relaxed

a b c (Å): 5.150 5.150 4.609
angles (deg): 90.00 90.00 90.00
Space group P4/mmm (No. 123)
Inequivalent atoms, fractional coordinates:
Re  0.000  0.000  0.000
Si  0.000  0.000  0.500
Pb  0.500  0.500  0.500
Au  0.000  0.500  0.000

The uncorrected formation energy is 650 meV per atom.

---

Entry 10:
RhPbAu2 | PBE | relaxed

a b c (Å): 5.599 10.552 3.175
angles (deg): 90.00 124.19 90.00
Space group C2/m (No. 12)
Inequivalent atoms, fractional coordinates:
Rh  0.000  0.000  0.000
Pb  0.000  0.500  0.000
Au  0.250  0.250  0.000

As for the formation energy: 0.10 eV per atom.

---

Entry 11:
RhPb6Au2 | PBE | relaxed

a b c (Å): 15.055 6.887 5.062
angles (deg): 90.00 109.35 90.00
Space group C2/m (No. 12)
Inequivalent atoms, fractional coordinates:
Rh  0.000  0.000  0.000
Pb  0.000  0.231  0.500
Pb  0.160  0.253  0.159
Au  0.167  0.500  0.666

As for the formation energy: -0.04 eV per atom.

---

Entry 12:
RhPbAu2 | PBE | relaxed

a b c (Å): 6.715 6.715 6.715
angles (deg): 90.00 90.00 90.00
Space group F-43m (No. 216)
Inequivalent atoms, fractional coordinates:
Rh  0.000  0.000  0.000
Pb  0.250  0.250  0.750
Au  0.000  0.000  0.500
Au  0.250  0.250  0.250

As for the formation energy: 0.14 eV per atom.

---

Entry 13:
RhPbAu | PBE | relaxed

a b c (Å): 3.472 3.472 9.658
angles (deg): 90.00 90.00 90.00
Space group I4mm (No. 107)
Inequivalent atoms, fractional coordinates:
Rh  0.000  0.000  0.000
Pb  0.000  0.000  0.656
Au  0.000  0.000  0.340

As for the formation energy: 0.15 eV per atom. As for the offset from the most stable computed form: 0.070 eV per atom.

---

Entry 14:
RhPbAu2 | PBE | relaxed

a b c (Å): 3.928 3.928 20.852
angles (deg): 90.00 90.00 90.00
Space group I-42d (No. 122)
Inequivalent atoms, fractional coordinates:
Rh  0.000  0.000  0.000
Pb  0.000  0.000  0.500
Au  0.242  0.250  0.125

As for the formation energy: 0.14 eV per atom.

---

Entry 15:
Rh3Pb8Au2 | PBE | relaxed

a b c (Å): 8.568 4.787 8.664
angles (deg): 90.00 111.47 90.00
Space group P2/m (No. 10)
Inequivalent atoms, fractional coordinates:
Rh  0.000  0.000  0.000
Rh  0.234  0.500  0.233
Pb  0.124  0.500  0.879
Pb  0.133  0.000  0.367
Pb  0.368  0.000  0.132
Pb  0.386  0.500  0.611
Au  0.255  0.000  0.744

As for the formation energy: -0.01 eV per atom.

---

Entry 16:
RhPbAu2 | PBE | relaxed

a b c (Å): 3.968 3.968 9.686
angles (deg): 90.00 90.00 90.00
Space group I4/mmm (No. 139)
Inequivalent atoms, fractional coordinates:
Rh  0.000  0.000  0.000
Pb  0.000  0.000  0.500
Au  0.000  0.500  0.250

As for the formation energy: 0.09 eV per atom.

---

Entry 17:
RhPbAu2 | PBE | relaxed

a b c (Å): 3.394 3.769 5.996
angles (deg): 90.00 90.00 90.00
Space group Pmm2 (No. 25)
Inequivalent atoms, fractional coordinates:
Rh  0.000  0.000  0.000
Pb  0.500  0.500  0.221
Au  0.000  0.000  0.522
Au  0.500  0.500  0.739

As for the formation energy: 0.10 eV per atom.

---

Entry 18:
RhPb3Au | PBE | relaxed

a b c (Å): 7.730 6.975 10.445
angles (deg): 90.00 116.75 90.00
Space group P2_1/c (No. 14)
Inequivalent atoms, fractional coordinates:
Rh  0.001  0.188  0.067
Pb  0.065  0.664  0.720
Pb  0.264  0.003  0.573
Pb  0.351  0.016  0.071
Au  0.351  0.194  0.342

As for the formation energy: -0.07 eV per atom. As for the offset from the most stable computed form: 0.000 eV per atom.

---

Entry 19:
Rh2Pb2Au | PBE | relaxed

a b c (Å): 7.351 7.351 3.653
angles (deg): 90.00 90.00 90.00
Space group P4/mbm (No. 127)
Inequivalent atoms, fractional coordinates:
Rh  0.142  0.358  0.000
Pb  0.161  0.661  0.500
Au  0.000  0.000  0.000

As for the formation energy: 0.01 eV per atom.

---

Entry 20:
RhPbAu2 | PBE | relaxed

a b c (Å): 3.1072 3.1072 28.6691
angles (deg): 90.00 90.00 120.00
Space group R-3m (No. 166, hexagonal axes)
Inequivalent atoms, fractional coordinates:
Rh  0.0000  0.0000  0.0000
Pb  0.0000  0.0000  0.5000
Au  0.0000  0.0000  0.2586

As for the formation energy: 0.29 eV per atom.

---

| no. | total magnetic moment (μB/atom) |
| --- | --- |
| 1 | 0.000 |
| 2 | 0.531 |
| 3 | 0.000 |
| 4 | 0.000 |
| 5 | 0.000 |
| 6 | 0.386 |
| 7 | 0.000 |
| 8 | 0.168 |
| 9 | 0.000 |
| 10 | 0.000 |
| 11 | 0.000 |
| 12 | 0.000 |
| 13 | 0.000 |
| 14 | 0.000 |
| 15 | 0.000 |
| 16 | 0.000 |
| 17 | 0.000 |
| 18 | 0.000 |
| 19 | 0.000 |
| 20 | 0.143 |